Entry from Alexandria: a relaxed structure of Sm4PuSe4 (PBE).

The calculation puts the electronic total energy at -121.11 eV per cell. The calculation puts the total magnetization at 6.196 μB/f.u.

The space group is I4/m (No. 87) and the conventional cell measures 9.218, 9.218 and 5.865 Å, with angles of 90.00, 90.00 and 90.00 degrees. The asymmetric unit holds Sm at (0.101, 0.297, 0.000), Pu at (0.000, 0.000, 0.500) and Se at (0.096, 0.301, 0.500).

***

Entry from Alexandria: a relaxed structure of SmPu4Se5 (PBE).

The calculation puts the electronic total energy at -190.84 eV per cell. The calculation puts the total magnetization at 23.059 μB/f.u.

The space group is Immm (No. 71) and the conventional cell measures 4.158, 5.876 and 20.752 Å, with angles of 90.00, 90.00 and 90.00 degrees. The asymmetric unit holds Sm at (0.000, 0.000, 0.000), Pu at (0.000, 0.000, 0.200), Pu at (0.000, 0.000, 0.401), Se at (0.000, 0.500, 0.000), Se at (0.000, 0.500, 0.199) and Se at (0.000, 0.500, 0.399).

***

Entry from Alexandria: a relaxed structure of SmPuSe2 (PBE).

For the offset from the most stable computed form, the calculation gives 0.20 eV per formula unit. The calculation puts the total magnetization at 5.977 μB/f.u.

The space group is P6_3/mmc (No. 194) and the conventional cell measures 4.0807, 4.0807 and 14.2239 Å, with angles of 90.00, 90.00 and 120.00 degrees. The asymmetric unit holds Sm at (0.0000, 0.0000, 0.0000), Pu at (0.3333, 0.6667, 0.2500) and Se at (0.3333, 0.6667, 0.6232).

***

Entry from Alexandria: a relaxed structure of Sm5Pu3Se8 (PBE).

The calculation puts the electronic total energy at -366.51 eV per cell. The calculation puts the total magnetization at 17.495 μB/f.u.

The space group is R-3m (No. 166, hexagonal axes) and the conventional cell measures 8.3039, 8.3039 and 20.4731 Å, with angles of 90.00, 90.00 and 120.00 degrees. The asymmetric unit holds Sm at (0.0000, 0.0000, 0.0000), Sm at (0.0000, 0.0000, 0.5000), Sm at (0.0000, 0.5000, 0.0000), Pu at (0.0000, 0.5000, 0.5000), Se at (0.0000, 0.0000, 0.2489) and Se at (0.0014, 0.5007, 0.7506).

***

Entry from Alexandria: a relaxed structure of SmPuSe2 (PBE).

For the offset from the most stable computed form, the calculation gives 0.00 eV per formula unit. The calculation puts the total magnetization at 5.774 μB/f.u.

The space group is I4_1/amd (No. 141, origin choice 2) and the conventional cell measures 5.876, 5.876 and 11.776 Å, with angles of 90.00, 90.00 and 90.00 degrees. The asymmetric unit holds Sm at (0.000, 0.250, 0.375), Pu at (0.000, 0.250, 0.875) and Se at (0.000, 0.250, 0.123).

***

Entry from Alexandria: a relaxed structure of SmPuSe2 (PBE).

For the offset from the most stable computed form, the calculation gives 0.00 eV per formula unit. The calculation puts the total magnetization at 5.828 μB/f.u.

The space group is R-3m (No. 166, hexagonal axes) and the conventional cell measures 4.1438, 4.1438 and 20.5088 Å, with angles of 90.00, 90.00 and 120.00 degrees. The asymmetric unit holds Sm at (0.0000, 0.0000, 0.0000), Pu at (0.0000, 0.0000, 0.5000) and Se at (0.0000, 0.0000, 0.2490).

***

Entry from Alexandria: a relaxed structure of Sm2Pu2Se5 (PBE).

The calculation puts the electronic total energy at -281.32 eV per cell. The calculation puts the total magnetization at 11.952 μB/f.u.

The space group is Cmce (No. 64) and the conventional cell measures 14.692, 7.839 and 7.904 Å, with angles of 90.00, 90.00 and 90.00 degrees. The asymmetric unit holds Sm at (0.000, 0.154, 0.156), Pu at (0.198, 0.000, 0.500), Se at (0.000, 0.000, 0.500) and Se at (0.138, 0.158, 0.847).

***

Entry from Alexandria: a relaxed structure of SmPuSe2 (PBE).

For the offset from the most stable computed form, the calculation gives 0.33 eV per formula unit. The calculation puts the total magnetization at 5.385 μB/f.u.

The space group is R3m (No. 160, hexagonal axes) and the conventional cell measures 4.0282, 4.0282 and 21.9681 Å, with angles of 90.00, 90.00 and 120.00 degrees. The asymmetric unit holds Sm at (0.0000, 0.0000, 0.0000), Pu at (0.0000, 0.0000, 0.8258), Se at (0.0000, 0.0000, 0.2448) and Se at (0.0000, 0.0000, 0.4152).

***

Entry from Alexandria: a relaxed structure of Sm5PuSe8 (PBE).

The calculation puts the electronic total energy at -182.26 eV per cell. The calculation puts the total magnetization at 6.664 μB/f.u.

The space group is I-4 (No. 82) and the conventional cell measures 8.859, 8.859 and 8.809 Å, with angles of 90.00, 90.00 and 90.00 degrees. The asymmetric unit holds Sm at (0.000, 0.000, 0.000), Sm at (0.126, 0.250, 0.378), Pu at (0.000, 0.500, 0.750), Se at (0.074, 0.175, 0.700) and Se at (0.074, 0.324, 0.053).

***

Entry from Alexandria: a relaxed structure of Sm3Pu5Se8 (PBE).

The calculation puts the electronic total energy at -420.66 eV per cell. The calculation puts the total magnetization at 29.304 μB/f.u.

The space group is R-3m (No. 166, hexagonal axes) and the conventional cell measures 8.3070, 8.3070 and 20.4048 Å, with angles of 90.00, 90.00 and 120.00 degrees. The asymmetric unit holds Sm at (0.0000, 0.5000, 0.0000), Pu at (0.0000, 0.0000, 0.0000), Pu at (0.0000, 0.0000, 0.5000), Pu at (0.0000, 0.5000, 0.5000), Se at (0.0000, 0.0000, 0.2491) and Se at (0.0016, 0.5008, 0.7508).

***

Entry from Alexandria: a relaxed structure of Sm2Pu3Se8 (PBE).

The calculation puts the electronic total energy at -199.95 eV per cell. The calculation puts the total magnetization at 14.000 μB/f.u.

The space group is C2/m (No. 12) and the conventional cell measures 14.586, 8.271 and 7.044 Å, with angles of 90.00, 109.29 and 90.00 degrees. The asymmetric unit holds Sm at (0.238, 0.000, 0.163), Pu at (0.000, 0.242, 0.500), Pu at (0.000, 0.500, 0.000), Se at (0.116, 0.000, 0.413), Se at (0.116, 0.500, 0.419) and Se at (0.123, 0.263, 0.911).

***

Entry from Alexandria: a relaxed structure of Sm4PuSe7 (PBE).

The calculation puts the electronic total energy at -158.30 eV per cell. The calculation puts the total magnetization at 5.660 μB/f.u.

The space group is Cm (No. 8) and the conventional cell measures 13.650, 4.070 and 12.414 Å, with angles of 90.00, 104.71 and 90.00 degrees. The asymmetric unit holds Sm at (0.000, 0.000, 0.000), Sm at (0.082, 0.500, 0.384), Sm at (0.187, 0.000, 0.767), Sm at (0.385, 0.500, 0.575), Pu at (0.268, 0.500, 0.152), Se at (0.045, 0.500, 0.625), Se at (0.123, 0.500, 0.924), Se at (0.146, 0.000, 0.227), Se at (0.224, 0.000, 0.526), Se at (0.345, 0.500, 0.791), Se at (0.382, 0.000, 0.074) and Se at (0.425, 0.500, 0.360).

***

Entry from Alexandria: a relaxed structure of SrSm2PuSe4 (PBE).

The calculation puts the electronic total energy at -53.67 eV per cell. The calculation puts the total magnetization at 5.970 μB/f.u.

The space group is P2/m (No. 10) and the conventional cell measures 7.325, 4.209 and 7.347 Å, with angles of 90.00, 109.30 and 90.00 degrees. The asymmetric unit holds Sr at (0.000, 0.000, 0.000), Sm at (0.000, 0.500, 0.500), Sm at (0.500, 0.000, 0.500), Pu at (0.500, 0.500, 0.000), Se at (0.255, 0.000, 0.748) and Se at (0.257, 0.500, 0.258).

***

Entry from Alexandria: a relaxed structure of Tb3Sm3PuSe8 (PBE).

The calculation puts the electronic total energy at -292.10 eV per cell. The calculation puts the total magnetization at 6.246 μB/f.u.

The space group is R-3m (No. 166, hexagonal axes) and the conventional cell measures 8.2413, 8.2413 and 20.2493 Å, with angles of 90.00, 90.00 and 120.00 degrees. The asymmetric unit holds Tb at (0.0000, 0.5000, 0.0000), Sm at (0.0000, 0.5000, 0.5000), Pu at (0.0000, 0.0000, 0.0000), Se at (0.0000, 0.0000, 0.2522) and Se at (0.0083, 0.5042, 0.2502).

***

Entry from Alexandria: a relaxed structure of TbSm2PuSe5 (PBE).

The calculation puts the electronic total energy at -55.94 eV per cell. The calculation puts the total magnetization at 6.592 μB/f.u.

The space group is P4/mmm (No. 123) and the conventional cell measures 5.112, 5.112 and 10.884 Å, with angles of 90.00, 90.00 and 90.00 degrees. The asymmetric unit holds Tb at (0.000, 0.000, 0.000), Sm at (0.500, 0.500, 0.213), Pu at (0.000, 0.000, 0.500), Se at (0.000, 0.000, 0.252), Se at (0.000, 0.500, 0.000) and Se at (0.500, 0.500, 0.500).

***

Entry from Alexandria: a relaxed structure of TbSm4Pu3Se8 (PBE).

The calculation puts the electronic total energy at -366.01 eV per cell. The calculation puts the total magnetization at 17.453 μB/f.u.

The space group is R-3m (No. 166, hexagonal axes) and the conventional cell measures 8.2798, 8.2798 and 20.4355 Å, with angles of 90.00, 90.00 and 120.00 degrees. The asymmetric unit holds Tb at (0.0000, 0.0000, 0.0000), Sm at (0.0000, 0.0000, 0.5000), Sm at (0.0000, 0.5000, 0.5000), Pu at (0.0000, 0.5000, 0.0000), Se at (0.0000, 0.0000, 0.2511) and Se at (0.0016, 0.5008, 0.7486).

***

Entry from Alexandria: a relaxed structure of Tb3SmPu3Se8 (PBE).

The calculation puts the electronic total energy at -346.96 eV per cell. The calculation puts the total magnetization at 17.190 μB/f.u.

The space group is R-3m (No. 166, hexagonal axes) and the conventional cell measures 8.2280, 8.2280 and 20.2386 Å, with angles of 90.00, 90.00 and 120.00 degrees. The asymmetric unit holds Tb at (0.0000, 0.5000, 0.0000), Sm at (0.0000, 0.0000, 0.0000), Pu at (0.0000, 0.5000, 0.5000), Se at (0.0000, 0.0000, 0.2509) and Se at (0.0071, 0.5036, 0.2499).

***

Entry from Alexandria: a relaxed structure of TbSm2Pu3Se6 (PBE).

The calculation puts the electronic total energy at -196.51 eV per cell. The calculation puts the total magnetization at 17.424 μB/f.u.

The space group is C2/m (No. 12) and the conventional cell measures 18.101, 4.132 and 8.313 Å, with angles of 90.00, 103.75 and 90.00 degrees. The asymmetric unit holds Tb at (0.000, 0.000, 0.000), Sm at (0.167, 0.500, 0.334), Pu at (0.000, 0.000, 0.500), Pu at (0.168, 0.500, 0.833), Se at (0.001, 0.500, 0.753), Se at (0.165, 0.000, 0.081) and Se at (0.166, 0.000, 0.585).

***

Entry from Alexandria: a relaxed structure of SmPuTe2Se (PBE).

The calculation puts the electronic total energy at -69.91 eV per cell. The calculation puts the total magnetization at 5.055 μB/f.u.

The space group is P4/nmm (No. 129, origin choice 2) and the conventional cell measures 4.373, 4.373 and 15.533 Å, with angles of 90.00, 90.00 and 90.00 degrees. The asymmetric unit holds Sm at (0.250, 0.250, 0.094), Pu at (0.250, 0.250, 0.629), Te at (0.250, 0.250, 0.296), Te at (0.250, 0.250, 0.887) and Se at (0.250, 0.750, 0.500).

***

Entry from Alexandria: a relaxed structure of SmPuTeSe (PBE).

The calculation puts the electronic total energy at -94.67 eV per cell. The calculation puts the total magnetization at 5.896 μB/f.u.

The space group is R3m (No. 160, hexagonal axes) and the conventional cell measures 4.2602, 4.2602 and 21.4132 Å, with angles of 90.00, 90.00 and 120.00 degrees. The asymmetric unit holds Sm at (0.0000, 0.0000, 0.0000), Pu at (0.0000, 0.0000, 0.5158), Te at (0.0000, 0.0000, 0.7583) and Se at (0.0000, 0.0000, 0.2569).